Entry from Alexandria: a relaxed LiMnO crystal (GGA+U).

The value obtained for the energy above the most stable polymorph in this dataset is 0 meV/atom. For the total energy, the calculation gives -5.998 eV per atom.

It has space group P2_1/m (No. 11), with a = 5.244 Å, b = 3.069 Å, c = 5.314 Å, α = 90.00°, β = 105.75° and γ = 90.00°. Symmetry generates all atoms from Li at (0.030, 0.250, 0.321), Mn at (0.481, 0.250, 0.745) and O at (0.251, 0.750, 0.491).